# 1
Material: KTl2CuAu
Method: DFT, meta-GGA SCAN
State: single point on PBEsol structure

Properties
Its symmetry is P4/mmm. The value obtained for the energy relative to the elements is 1140.1 meV/atom. The total energy is -46.340 eV/atom. As for the density of states at the Fermi level: 2.30 states/eV/f.u.

a = 5.937 Å, b = 5.937 Å, c = 4.966 Å
α = 90.00°, β = 90.00°, γ = 90.00°
Sites, in units of the cell vectors:
K (0.000, 0.000, 0.000)
Tl (0.000, 0.500, 0.000)
Tl (0.500, 0.000, 0.000)
Cu (0.000, 0.000, 0.500)
Au (0.500, 0.500, 0.500)


# 2
Material: Mg2AlZn
Method: DFT, meta-GGA SCAN
State: single point on PBEsol structure

Properties
Its symmetry is Amm2. The value obtained for the energy relative to the elements is -58.2 meV/atom. The total energy is -7.862 eV/atom. As for the density of states at the Fermi level: 1.40 states/eV/f.u.

a = 4.384 Å, b = 3.168 Å, c = 10.702 Å
α = 90.00°, β = 90.00°, γ = 90.00°
Sites, in units of the cell vectors:
Mg (0.000, 0.000, 0.000)
Mg (0.000, 0.500, 0.500)
Mg (0.500, 0.000, 0.334)
Mg (0.500, 0.500, 0.834)
Al (0.000, 0.000, 0.731)
Al (0.000, 0.500, 0.231)
Zn (0.500, 0.000, 0.597)
Zn (0.500, 0.500, 0.097)


# 3
Material: Ti2Sn3
Method: DFT, meta-GGA SCAN
State: single point on PBEsol structure

Properties
Its symmetry is Cmce. The value obtained for the energy relative to the elements is -353.3 meV/atom. The total energy is -28.318 eV/atom. As for the density of states at the Fermi level: 2.05 states/eV/f.u.

a = 10.321 Å, b = 10.321 Å, c = 6.959 Å
α = 90.00°, β = 90.00°, γ = 146.86°
Sites, in units of the cell vectors:
Ti (0.081, 0.919, 0.954)
Ti (0.087, 0.413, 0.750)
Ti (0.413, 0.087, 0.250)
Ti (0.419, 0.581, 0.454)
Ti (0.581, 0.419, 0.546)
Ti (0.587, 0.913, 0.750)
Ti (0.913, 0.587, 0.250)
Ti (0.919, 0.081, 0.046)
Sn (0.121, 0.879, 0.574)
Sn (0.224, 0.776, 0.927)
Sn (0.230, 0.270, 0.750)
Sn (0.270, 0.230, 0.250)
Sn (0.276, 0.724, 0.427)
Sn (0.379, 0.621, 0.074)
Sn (0.621, 0.379, 0.926)
Sn (0.724, 0.276, 0.573)
Sn (0.730, 0.770, 0.750)
Sn (0.770, 0.730, 0.250)
Sn (0.776, 0.224, 0.073)
Sn (0.879, 0.121, 0.426)


# 4
Material: MnBe2B2
Method: DFT, meta-GGA SCAN
State: single point on PBEsol structure

Properties
Its symmetry is P4/mbm. The value obtained for the energy relative to the elements is 3.6 meV/atom. The total energy is -8.361 eV/atom. As for the density of states at the Fermi level: 1.72 states/eV/f.u.

a = 5.405 Å, b = 5.405 Å, c = 2.566 Å
α = 90.00°, β = 90.00°, γ = 90.00°
Sites, in units of the cell vectors:
Mn (0.000, 0.000, 0.000)
Mn (0.500, 0.500, 0.000)
Be (0.183, 0.317, 0.500)
Be (0.317, 0.817, 0.500)
Be (0.683, 0.183, 0.500)
Be (0.817, 0.683, 0.500)
B (0.112, 0.612, 0.000)
B (0.388, 0.112, 0.000)
B (0.612, 0.888, 0.000)
B (0.888, 0.388, 0.000)


# 5
Material: YZnRe2
Method: DFT, meta-GGA SCAN
State: single point on PBEsol structure

Properties
Its symmetry is C2/m. The value obtained for the energy relative to the elements is 370.4 meV/atom. The total energy is -45.518 eV/atom. As for the density of states at the Fermi level: 2.68 states/eV/f.u.

a = 5.498 Å, b = 9.412 Å, c = 2.755 Å
α = 90.00°, β = 112.76°, γ = 90.00°
Sites, in units of the cell vectors:
Y (0.000, 0.000, 0.000)
Y (0.500, 0.500, 0.000)
Zn (0.000, 0.500, 0.000)
Zn (0.500, 0.000, 0.000)
Re (0.250, 0.250, 0.500)
Re (0.250, 0.750, 0.500)
Re (0.750, 0.250, 0.500)
Re (0.750, 0.750, 0.500)


# 6
Material: Cd2InGe2
Method: DFT, meta-GGA SCAN
State: single point on PBEsol structure

Properties
Its symmetry is I4/mmm. The value obtained for the energy relative to the elements is 159.4 meV/atom. The total energy is -26.319 eV/atom. For the offset from the most stable computed form, the calculation gives 0 meV per atom. As for the density of states at the Fermi level: 1.46 states/eV/f.u.

a = 4.511 Å, b = 4.511 Å, c = 11.234 Å
α = 90.00°, β = 90.00°, γ = 90.00°
Sites, in units of the cell vectors:
Cd (0.000, 0.500, 0.250)
Cd (0.000, 0.500, 0.750)
Cd (0.500, 0.000, 0.250)
Cd (0.500, 0.000, 0.750)
In (0.000, 0.000, 0.000)
In (0.500, 0.500, 0.500)
Ge (0.000, 0.000, 0.392)
Ge (0.000, 0.000, 0.608)
Ge (0.500, 0.500, 0.108)
Ge (0.500, 0.500, 0.892)


# 7
Material: Co2PIrAu
Method: DFT, meta-GGA SCAN
State: single point on PBEsol structure

Properties
Its symmetry is P4/mmm. The value obtained for the energy relative to the elements is 1458.7 meV/atom. The total energy is -35.594 eV/atom. As for the density of states at the Fermi level: 3.88 states/eV/f.u.

a = 4.407 Å, b = 4.407 Å, c = 4.978 Å
α = 90.00°, β = 90.00°, γ = 90.00°
Sites, in units of the cell vectors:
Co (0.000, 0.500, 0.000)
Co (0.500, 0.000, 0.000)
P (0.000, 0.000, 0.500)
Ir (0.500, 0.500, 0.000)
Au (0.500, 0.500, 0.500)


# 8
Material: Fe2PtRh
Method: DFT, meta-GGA SCAN
State: single point on PBEsol structure

Properties
Its symmetry is Pmmm. The value obtained for the energy relative to the elements is -284.3 meV/atom. The total energy is -35.340 eV/atom. As for the density of states at the Fermi level: 3.49 states/eV/f.u.

a = 2.660 Å, b = 3.639 Å, c = 5.317 Å
α = 90.00°, β = 90.00°, γ = 90.00°
Sites, in units of the cell vectors:
Fe (0.000, 0.000, 0.243)
Fe (0.000, 0.000, 0.757)
Pt (0.500, 0.500, 0.500)
Rh (0.500, 0.500, 0.000)


# 9
Material: Cu3Pt2
Method: DFT, meta-GGA SCAN
State: single point on PBEsol structure

Properties
Its symmetry is P2/m. The value obtained for the energy relative to the elements is -132.1 meV/atom. The total energy is -37.329 eV/atom. For the offset from the most stable computed form, the calculation gives 15 meV per atom. As for the density of states at the Fermi level: 2.70 states/eV/f.u.

a = 6.451 Å, b = 2.699 Å, c = 7.659 Å
α = 90.00°, β = 104.18°, γ = 90.00°
Sites, in units of the cell vectors:
Cu (0.098, 0.000, 0.307)
Cu (0.192, 0.500, 0.589)
Cu (0.392, 0.500, 0.202)
Cu (0.608, 0.500, 0.798)
Cu (0.808, 0.500, 0.411)
Cu (0.902, 0.000, 0.693)
Pt (0.000, 0.500, 0.000)
Pt (0.301, 0.000, 0.887)
Pt (0.500, 0.000, 0.500)
Pt (0.699, 0.000, 0.113)


# 10
Material: ReBPd2
Method: DFT, meta-GGA SCAN
State: single point on PBEsol structure

Properties
Its symmetry is I-42d. The value obtained for the energy relative to the elements is 819.9 meV/atom. The total energy is -35.199 eV/atom. As for the density of states at the Fermi level: 3.27 states/eV/f.u.

a = 3.442 Å, b = 3.442 Å, c = 18.177 Å
α = 90.00°, β = 90.00°, γ = 90.00°
Sites, in units of the cell vectors:
Re (0.000, 0.000, 0.000)
Re (0.000, 0.500, 0.250)
Re (0.500, 0.000, 0.750)
Re (0.500, 0.500, 0.500)
B (0.000, 0.000, 0.500)
B (0.000, 0.500, 0.750)
B (0.500, 0.000, 0.250)
B (0.500, 0.500, 0.000)
Pd (0.245, 0.250, 0.625)
Pd (0.250, 0.745, 0.875)
Pd (0.250, 0.755, 0.375)
Pd (0.255, 0.250, 0.125)
Pd (0.745, 0.750, 0.125)
Pd (0.750, 0.245, 0.375)
Pd (0.750, 0.255, 0.875)
Pd (0.755, 0.750, 0.625)


# 11
Material: GeSe2O
Method: DFT, meta-GGA SCAN
State: single point on PBEsol structure

Properties
Its symmetry is R-3m. The total energy is -16.312 eV/atom. The calculation puts the formation energy without anion corrections at 0.057 eV per atom. As for the density of states at the Fermi level: 1.21 states/eV/f.u.

a = 3.731 Å, b = 3.731 Å, c = 20.510 Å
α = 90.00°, β = 90.00°, γ = 120.00°
Sites, in units of the cell vectors:
Ge (0.000, 0.000, 0.000)
Ge (0.333, 0.667, 0.667)
Ge (0.667, 0.333, 0.333)
Se (0.000, 0.000, 0.408)
Se (0.000, 0.000, 0.592)
Se (0.333, 0.667, 0.075)
Se (0.333, 0.667, 0.259)
Se (0.667, 0.333, 0.741)
Se (0.667, 0.333, 0.925)
O (0.000, 0.000, 0.500)
O (0.333, 0.667, 0.167)
O (0.667, 0.333, 0.833)


# 12
Material: Ag2PtAu
Method: DFT, meta-GGA SCAN
State: single point on PBEsol structure

Properties
Its symmetry is Cm. The value obtained for the energy relative to the elements is -15.5 meV/atom. The total energy is -50.537 eV/atom. For the offset from the most stable computed form, the calculation gives 38 meV per atom. As for the density of states at the Fermi level: 1.19 states/eV/f.u.

a = 9.384 Å, b = 2.824 Å, c = 4.941 Å
α = 90.00°, β = 99.85°, γ = 90.00°
Sites, in units of the cell vectors:
Ag (0.000, 0.000, 0.000)
Ag (0.247, 0.000, 0.752)
Ag (0.500, 0.500, 0.000)
Ag (0.747, 0.500, 0.752)
Pt (0.499, 0.000, 0.500)
Pt (0.999, 0.500, 0.500)
Au (0.252, 0.500, 0.257)
Au (0.752, 0.000, 0.257)


# 13
Material: GaRe2BiIr
Method: DFT, meta-GGA SCAN
State: single point on PBEsol structure

Properties
Its symmetry is P4/mmm. The value obtained for the energy relative to the elements is 3304.3 meV/atom. The total energy is -58.340 eV/atom. As for the density of states at the Fermi level: 3.51 states/eV/f.u.

a = 4.900 Å, b = 4.900 Å, c = 4.920 Å
α = 90.00°, β = 90.00°, γ = 90.00°
Sites, in units of the cell vectors:
Ga (0.000, 0.000, 0.000)
Re (0.000, 0.500, 0.500)
Re (0.500, 0.000, 0.500)
Bi (0.000, 0.000, 0.500)
Ir (0.500, 0.500, 0.000)